# Rb3Pa2BiO9

A relaxed Rb3Pa2BiO9 crystal (PBE-GGA, the Alexandria database).

Calculated values
* formation energy (no corrections): -36.98 eV per formula unit

Cell lengths 6.179, 6.179, 7.571 Å; angles 90.00, 90.00, 120.00 degrees
Fractional positions:
O 0.500 0.000 0.000
Pa 0.333 0.667 0.170
Rb 0.000 0.000 0.000
Rb 0.667 0.333 0.336
O 0.166 0.332 0.334
Pa 0.667 0.333 0.830
O 0.668 0.834 0.334
Bi 0.000 0.000 0.500
O 0.834 0.668 0.666
O 0.166 0.834 0.334
O 0.500 0.500 0.000
Rb 0.333 0.667 0.664
O 0.332 0.166 0.666
O 0.000 0.500 0.000
O 0.834 0.166 0.666

---

# BeSi2Pb

A relaxed BeSi2Pb crystal (PBE-GGA, the Alexandria database).

Calculated values
* formation energy (no corrections): 3.38 eV per formula unit
* excess energy over the best structure of this formula in the dataset: 482 meV per atom

Cell lengths 4.679, 4.679, 4.679 Å; angles 60.00, 60.00, 60.00 degrees
Fractional positions:
Si 0.750 0.750 0.750
Si 0.000 0.000 0.000
Pb 0.250 0.250 0.250
Be 0.500 0.500 0.500

---

# Ru3Au

A relaxed Ru3Au crystal (PBE-GGA, the Alexandria database).

Calculated values
* energy relative to the elements: 2953 meV/atom
* excess energy over the best structure of this formula in the dataset: 2783 meV per atom

Cell lengths 4.994, 4.994, 4.994 Å; angles 90.00, 90.00, 90.00 degrees
Site moments in Bohr magnetons follow the coordinates.
Fractional positions:
Au 0.000 0.000 0.000  0.29
Ru 0.000 0.000 0.500  2.21
Ru 0.500 0.000 0.000  2.21
Ru 0.000 0.500 0.000  2.21

---

# BeBPdAu

A relaxed BeBPdAu crystal (PBE-GGA, the Alexandria database).

Calculated values
* energy relative to the elements: 39 meV/atom
* excess energy over the best structure of this formula in the dataset: 34 meV per atom

Cell lengths 4.611, 3.107, 7.996 Å; angles 90.00, 122.57, 90.00 degrees
Fractional positions:
Au 0.350 0.000 0.093
Pd 0.764 0.500 0.001
Pd 0.764 0.000 0.501
Be 0.078 0.000 0.294
Au 0.350 0.500 0.593
Be 0.078 0.500 0.794
B 0.783 0.000 0.801
B 0.783 0.500 0.301

---

# SmEr2Ru

A relaxed SmEr2Ru crystal (PBE-GGA, the Alexandria database).

Calculated values
* energy relative to the elements: -316 meV/atom
* excess energy over the best structure of this formula in the dataset: 0 meV per atom

Cell lengths 6.345, 7.309, 9.150 Å; angles 90.00, 90.00, 90.00 degrees
Fractional positions:
Er 0.167 0.676 0.065
Er 0.333 0.176 0.435
Er 0.167 0.676 0.435
Sm 0.631 0.540 0.250
Ru 0.453 0.885 0.250
Er 0.333 0.176 0.065
Er 0.667 0.824 0.565
Ru 0.547 0.115 0.750
Sm 0.131 0.960 0.750
Ru 0.953 0.615 0.750
Sm 0.369 0.460 0.750
Er 0.833 0.324 0.565
Sm 0.869 0.040 0.250
Er 0.833 0.324 0.935
Er 0.667 0.824 0.935
Ru 0.047 0.385 0.250

---

# La4DyEr3Se8

A relaxed La4DyEr3Se8 crystal (PBE-GGA, the Alexandria database).

Calculated values
* formation energy (no corrections): -29.78 eV per formula unit

Cell lengths 8.259, 8.463, 8.260 Å; angles 119.21, 120.00, 90.00 degrees
Fractional positions:
La 0.000 0.000 0.000
Se 0.757 0.272 0.514
Se 0.756 0.272 0.016
La 0.000 0.000 0.500
Se 0.741 0.728 0.984
Dy 0.000 0.500 0.000
Se 0.259 0.272 0.016
La 0.500 0.000 0.000
Er 0.000 0.500 0.500
La 0.500 0.000 0.500
Se 0.244 0.728 0.984
Se 0.243 0.728 0.486
Er 0.500 0.500 0.000
Se 0.742 0.727 0.484
Er 0.500 0.500 0.500
Se 0.258 0.273 0.516

---

| no. | E (eV per atom) | theoretical density (g/cm³) |
| --- | --- | --- |
| 1 | -7.159 | 7.1 |
| 2 | -3.726 | 6.2 |
| 3 | -4.823 | 6.7 |
| 4 | -4.679 | 11.1 |
| 5 | -6.096 | 9.2 |
| 6 | -5.978 | 7.4 |